# CoSe3O | Alexandria | GGA+U | relaxed
data_CoSe3O
_space_group_name_H-M_alt 'P m -3 m'
_space_group_IT_number 221
_space_group_name_Hall '-P 4 2 3'
_cell_length_a 4.672
_cell_length_b 4.672
_cell_length_c 4.672
_cell_angle_alpha 90.00
_cell_angle_beta 90.00
_cell_angle_gamma 90.00
loop_
_atom_site_label
_atom_site_type_symbol
_atom_site_fract_x
_atom_site_fract_y
_atom_site_fract_z
Co1 Co 0.000 0.000 0.000
Se1 Se 0.000 0.000 0.500
O1 O 0.500 0.500 0.500
# * energy above the most stable polymorph in this dataset: 27.7 kJ/mol of atoms
# * magnetic moment: 4.37 μB/cell
# * energy: -15.84 eV/cell